Here is a geometry-optimized KLaSn2 structure from Alexandria. Energies are from GGA-PBE.

a = 5.664 Å, b = 5.664 Å, c = 5.664 Å
α = 60.00°, β = 60.00°, γ = 60.00°
Fractional positions:
1 Sn 0.750 0.750 0.750
2 Sn 0.250 0.250 0.250
3 La 0.500 0.500 0.500
4 K 0.000 0.000 0.000

E_form = -0.293 eV/atom
calculated volume = 128.5 Å³/f.u.
DFT total energy = -3.801 eV/atom
DOS(E_F) = 2.589 states/eV/f.u.

***

Here is a geometry-optimized LaTeIr2C structure from Alexandria. Energies are from GGA-PBE.

a = 4.924 Å, b = 6.228 Å, c = 4.924 Å
α = 90.00°, β = 90.00°, γ = 90.00°
Fractional positions:
1 La 0.000 0.000 0.000
2 Ir 0.500 0.000 0.000
3 Ir 0.000 0.000 0.500
4 C 0.500 0.500 0.500
5 Te 0.000 0.500 0.000

energy relative to the elements, uncorrected = 2.767 eV per atom
calculated volume = 151.0 Å³/f.u.
DFT total energy = -4.236 eV/atom
DOS(E_F) = 6.140 states/eV/f.u.